# Hg2AsRuW

Hg2AsRuW after structural relaxation (PBEsol, Alexandria via LeMat-Bulk).

Its total energy is -4.439 eV/atom. For the energy of formation, the calculation gives 1.605 eV/atom.

The structure belongs to space group P4/mmm (No. 123); the cell edges are 5.199, 5.199 and 4.544 Å and the angles 90.00°, 90.00° and 90.00°. The asymmetric unit holds Hg at (0.000, 0.500, 0.000), As at (0.000, 0.000, 0.500), Ru at (0.500, 0.500, 0.500) and W at (0.500, 0.500, 0.000).

---

# HgAs2S

HgAs2S after structural relaxation (PBEsol, Alexandria via LeMat-Bulk).

Its total energy is -3.315 eV/atom. For the formation energy from raw total energies, the calculation gives 476 meV/atom.

The structure belongs to space group Fm-3m (No. 225); the cell edges are 6.697, 6.697 and 6.697 Å and the angles 90.00°, 90.00° and 90.00°. The asymmetric unit holds Hg at (0.000, 0.000, 0.000), As at (0.250, 0.250, 0.250) and S at (0.000, 0.000, 0.500).

---

# HgAsSe2S

HgAsSe2S after structural relaxation (PBEsol, Alexandria via LeMat-Bulk).

Its total energy is -2.818 eV/atom. For the formation energy from raw total energies, the calculation gives 734 meV/atom.

The structure belongs to space group P4/mmm (No. 123); the cell edges are 4.956, 4.956 and 5.078 Å and the angles 90.00°, 90.00° and 90.00°. The asymmetric unit holds Hg at (0.000, 0.000, 0.000), As at (0.000, 0.000, 0.500), Se at (0.000, 0.500, 0.500) and S at (0.500, 0.500, 0.000).

---

# TlHgAsS3

TlHgAsS3 after structural relaxation (PBEsol, Alexandria via LeMat-Bulk).

Its total energy is -3.788 eV/atom. For the formation energy from raw total energies, the calculation gives -213 meV/atom. The calculation puts the excess energy over the best structure of this formula in the dataset at 0.000 eV per atom.

The structure belongs to space group Cmce (No. 64); the cell edges are 8.130, 9.038 and 15.865 Å and the angles 90.00°, 90.00° and 90.00°. The asymmetric unit holds Tl at (0.000, 0.163, 0.049), Hg at (0.250, 0.177, 0.750), As at (0.000, 0.075, 0.395), S at (0.000, 0.137, 0.258) and S at (0.221, 0.080, 0.604).

---

# TlHgAsS3

TlHgAsS3 after structural relaxation (PBEsol, Alexandria via LeMat-Bulk).

Its total energy is -3.677 eV/atom. For the formation energy from raw total energies, the calculation gives -101 meV/atom. The calculation puts the excess energy over the best structure of this formula in the dataset at 0.112 eV per atom.

The structure belongs to space group I-42m (No. 121); the cell edges are 11.130, 11.130 and 10.422 Å and the angles 90.00°, 90.00° and 90.00°. The asymmetric unit holds Tl at (0.000, 0.000, 0.152), Tl at (0.000, 0.500, 0.250), Hg at (0.000, 0.276, 0.500), As at (0.248, 0.248, 0.728), S at (0.114, 0.319, 0.086) and S at (0.126, 0.126, 0.348).

---

# TlHgAs3S6

TlHgAs3S6 after structural relaxation (PBEsol, Alexandria via LeMat-Bulk).

Its total energy is -4.242 eV/atom. For the formation energy from raw total energies, the calculation gives -167 meV/atom.

The structure belongs to space group P2_1/c (No. 14); the cell edges are 5.902, 11.195 and 16.909 Å and the angles 90.00°, 109.28° and 90.00°. The asymmetric unit holds Tl at (0.187, 0.116, 0.312), Hg at (0.458, 0.605, 0.403), As at (0.004, 0.655, 0.915), As at (0.044, 0.633, 0.565), As at (0.459, 0.131, 0.752), S at (0.009, 0.153, 0.117), S at (0.124, 0.665, 0.057), S at (0.130, 0.639, 0.711), S at (0.347, 0.143, 0.948), S at (0.380, 0.566, 0.255) and S at (0.411, 0.129, 0.613).

---

# HgSbAs2

HgSbAs2 after structural relaxation (PBEsol, Alexandria via LeMat-Bulk).

Its total energy is -3.558 eV/atom. For the formation energy from raw total energies, the calculation gives 277 meV/atom. The calculation puts the excess energy over the best structure of this formula in the dataset at 0.039 eV per atom.

The structure belongs to space group P4/mmm (No. 123); the cell edges are 3.792, 3.792 and 7.020 Å and the angles 90.00°, 90.00° and 90.00°. The asymmetric unit holds Hg at (0.000, 0.000, 0.000), Sb at (0.000, 0.000, 0.500) and As at (0.500, 0.500, 0.322).

---

# HgSb2As2

HgSb2As2 after structural relaxation (PBEsol, Alexandria via LeMat-Bulk).

Its total energy is -3.761 eV/atom. For the formation energy from raw total energies, the calculation gives 218 meV/atom. The calculation puts the excess energy over the best structure of this formula in the dataset at 0.004 eV per atom.

The structure belongs to space group I4/mmm (No. 139); the cell edges are 4.934, 4.934 and 11.670 Å and the angles 90.00°, 90.00° and 90.00°. The asymmetric unit holds Hg at (0.000, 0.000, 0.000), Sb at (0.000, 0.000, 0.358) and As at (0.000, 0.500, 0.250).

---

# HgSb2As2

HgSb2As2 after structural relaxation (PBEsol, Alexandria via LeMat-Bulk).

Its total energy is -3.765 eV/atom. For the formation energy from raw total energies, the calculation gives 213 meV/atom. The calculation puts the excess energy over the best structure of this formula in the dataset at 0.000 eV per atom.

The structure belongs to space group P4/mbm (No. 127); the cell edges are 7.956, 7.956 and 3.709 Å and the angles 90.00°, 90.00° and 90.00°. The asymmetric unit holds Hg at (0.000, 0.000, 0.000), Sb at (0.158, 0.342, 0.000) and As at (0.149, 0.649, 0.500).

---

# HgSbAs2

HgSbAs2 after structural relaxation (PBEsol, Alexandria via LeMat-Bulk).

Its total energy is -3.528 eV/atom. For the formation energy from raw total energies, the calculation gives 306 meV/atom. The calculation puts the excess energy over the best structure of this formula in the dataset at 0.068 eV per atom.

The structure belongs to space group Immm (No. 71); the cell edges are 3.710, 4.586 and 10.384 Å and the angles 90.00°, 90.00° and 90.00°. The asymmetric unit holds Hg at (0.000, 0.000, 0.000), Sb at (0.000, 0.000, 0.500) and As at (0.000, 0.500, 0.221).

---

# HgSbAs

HgSbAs after structural relaxation (PBEsol, Alexandria via LeMat-Bulk).

Its total energy is -3.371 eV/atom. For the formation energy from raw total energies, the calculation gives 39 meV/atom. The calculation puts the excess energy over the best structure of this formula in the dataset at 0.000 eV per atom.

The structure belongs to space group P3m1 (No. 156); the cell edges are 3.9596, 3.9596 and 5.4980 Å and the angles 90.00°, 90.00° and 120.00°. The asymmetric unit holds Hg at (0.0000, 0.0000, 0.0000), Sb at (0.3333, 0.6667, 0.6194) and As at (0.6667, 0.3333, 0.3402).

---

# HgSbAs

HgSbAs after structural relaxation (PBEsol, Alexandria via LeMat-Bulk).

Its total energy is -3.174 eV/atom. For the formation energy from raw total energies, the calculation gives 236 meV/atom. The calculation puts the excess energy over the best structure of this formula in the dataset at 0.197 eV per atom.

The structure belongs to space group Fmm2 (No. 42); the cell edges are 3.573, 5.201 and 15.126 Å and the angles 90.00°, 90.00° and 90.00°. The asymmetric unit holds Hg at (0.000, 0.000, 0.000), Sb at (0.000, 0.000, 0.687) and As at (0.000, 0.000, 0.332).

---

# HgSbAs2

HgSbAs2 after structural relaxation (PBEsol, Alexandria via LeMat-Bulk).

Its total energy is -3.504 eV/atom. For the formation energy from raw total energies, the calculation gives 330 meV/atom. The calculation puts the excess energy over the best structure of this formula in the dataset at 0.092 eV per atom.

The structure belongs to space group P4/mmm (No. 123); the cell edges are 4.907, 4.907 and 3.552 Å and the angles 90.00°, 90.00° and 90.00°. The asymmetric unit holds Hg at (0.000, 0.000, 0.000), Sb at (0.500, 0.500, 0.000) and As at (0.000, 0.500, 0.500).

---

# HgSbAs2

HgSbAs2 after structural relaxation (PBEsol, Alexandria via LeMat-Bulk).

Its total energy is -3.505 eV/atom. For the formation energy from raw total energies, the calculation gives 330 meV/atom. The calculation puts the excess energy over the best structure of this formula in the dataset at 0.092 eV per atom.

The structure belongs to space group C2/m (No. 12); the cell edges are 5.916, 9.825 and 3.106 Å and the angles 90.00°, 107.48° and 90.00°. The asymmetric unit holds Hg at (0.000, 0.000, 0.000), Sb at (0.000, 0.500, 0.000) and As at (0.250, 0.250, 0.500).

---

# HgSbAs2

HgSbAs2 after structural relaxation (PBEsol, Alexandria via LeMat-Bulk).

Its total energy is -3.596 eV/atom. For the formation energy from raw total energies, the calculation gives 238 meV/atom. The calculation puts the excess energy over the best structure of this formula in the dataset at 0.000 eV per atom.

The structure belongs to space group I-42d (No. 122); the cell edges are 6.125, 6.125 and 12.700 Å and the angles 90.00°, 90.00° and 90.00°. The asymmetric unit holds Hg at (0.000, 0.000, 0.000), Sb at (0.000, 0.000, 0.500) and As at (0.244, 0.250, 0.125).

---

# ScHg2As

ScHg2As after structural relaxation (PBEsol, Alexandria via LeMat-Bulk).

Its total energy is -3.447 eV/atom. For the energy of formation, the calculation gives -0.235 eV/atom.

The structure belongs to space group P4/mmm (No. 123); the cell edges are 3.819, 3.819 and 5.649 Å and the angles 90.00°, 90.00° and 90.00°. The asymmetric unit holds Sc at (0.000, 0.000, 0.000), Hg at (0.500, 0.500, 0.251) and As at (0.000, 0.000, 0.500).

---

# ScHg2As

ScHg2As after structural relaxation (PBEsol, Alexandria via LeMat-Bulk).

Its total energy is -3.667 eV/atom. For the energy of formation, the calculation gives -0.455 eV/atom.

The structure belongs to space group P4/mmm (No. 123); the cell edges are 4.020, 4.020 and 5.035 Å and the angles 90.00°, 90.00° and 90.00°. The asymmetric unit holds Sc at (0.000, 0.000, 0.000), Hg at (0.000, 0.500, 0.500) and As at (0.500, 0.500, 0.000).

---

# Sc2HgAs

Sc2HgAs after structural relaxation (PBEsol, Alexandria via LeMat-Bulk).

Its total energy is -5.592 eV/atom. The calculation puts the excess energy over the best structure of this formula in the dataset at 0.000 eV per atom. For the energy of formation, the calculation gives -0.871 eV/atom.

The structure belongs to space group R-3m (No. 166, hexagonal axes); the cell edges are 3.7071, 3.7071 and 21.6481 Å and the angles 90.00°, 90.00° and 120.00°. The asymmetric unit holds Sc at (0.0000, 0.0000, 0.2382), Hg at (0.0000, 0.0000, 0.0000) and As at (0.0000, 0.0000, 0.5000).

---

# ScHgAs2

ScHgAs2 after structural relaxation (PBEsol, Alexandria via LeMat-Bulk).

Its total energy is -4.623 eV/atom. The calculation puts the excess energy over the best structure of this formula in the dataset at 0.243 eV per atom. For the energy of formation, the calculation gives -0.277 eV/atom.

The structure belongs to space group I-42d (No. 122); the cell edges are 7.410, 7.410 and 6.050 Å and the angles 90.00°, 90.00° and 90.00°. The asymmetric unit holds Sc at (0.000, 0.000, 0.000), Hg at (0.000, 0.000, 0.500) and As at (0.249, 0.750, 0.625).

---

# ScHg2As

ScHg2As after structural relaxation (PBEsol, Alexandria via LeMat-Bulk).

Its total energy is -3.518 eV/atom. For the energy of formation, the calculation gives -0.307 eV/atom.

The structure belongs to space group Imm2 (No. 44); the cell edges are 3.989, 4.514 and 9.164 Å and the angles 90.00°, 90.00° and 90.00°. The asymmetric unit holds Sc at (0.000, 0.000, 0.000), Hg at (0.000, 0.000, 0.487), Hg at (0.000, 0.500, 0.252) and As at (0.000, 0.500, 0.713).

---

# ScHgAs2

ScHgAs2 after structural relaxation (PBEsol, Alexandria via LeMat-Bulk).

Its total energy is -4.866 eV/atom. The calculation puts the excess energy over the best structure of this formula in the dataset at 0.000 eV per atom. For the energy of formation, the calculation gives -0.520 eV/atom.

The structure belongs to space group Pmmm (No. 47); the cell edges are 3.633, 3.653 and 6.149 Å and the angles 90.00°, 90.00° and 90.00°. The asymmetric unit holds Sc at (0.000, 0.000, 0.000), Hg at (0.000, 0.000, 0.500) and As at (0.500, 0.500, 0.201).

---

# HgAs2Se

HgAs2Se after structural relaxation (PBEsol, Alexandria via LeMat-Bulk).

Its total energy is -3.247 eV/atom. For the formation energy from raw total energies, the calculation gives 410 meV/atom. The calculation puts the excess energy over the best structure of this formula in the dataset at 0.243 eV per atom.

The structure belongs to space group Fm-3m (No. 225); the cell edges are 6.819, 6.819 and 6.819 Å and the angles 90.00°, 90.00° and 90.00°. The asymmetric unit holds Hg at (0.000, 0.000, 0.000), As at (0.250, 0.250, 0.250) and Se at (0.000, 0.000, 0.500).

---

# HgAs2Se

HgAs2Se after structural relaxation (PBEsol, Alexandria via LeMat-Bulk).

Its total energy is -3.453 eV/atom. For the formation energy from raw total energies, the calculation gives 204 meV/atom. The calculation puts the excess energy over the best structure of this formula in the dataset at 0.038 eV per atom.

The structure belongs to space group Imm2 (No. 44); the cell edges are 3.637, 4.015 and 11.806 Å and the angles 90.00°, 90.00° and 90.00°. The asymmetric unit holds Hg at (0.000, 0.000, 0.000), As at (0.000, 0.000, 0.583), As at (0.000, 0.500, 0.241) and Se at (0.000, 0.500, 0.812).

---

# HgAs4Se

HgAs4Se after structural relaxation (PBEsol, Alexandria via LeMat-Bulk).

Its total energy is -3.714 eV/atom. For the formation energy from raw total energies, the calculation gives 427 meV/atom.

The structure belongs to space group F-43m (No. 216); the cell edges are 7.962, 7.962 and 7.962 Å and the angles 90.00°, 90.00° and 90.00°. The asymmetric unit holds Hg at (0.000, 0.000, 0.000), As at (0.115, 0.115, 0.385) and Se at (0.250, 0.250, 0.750).

---

# HgAs2Se

HgAs2Se after structural relaxation (PBEsol, Alexandria via LeMat-Bulk).

Its total energy is -3.491 eV/atom. For the formation energy from raw total energies, the calculation gives 167 meV/atom. The calculation puts the excess energy over the best structure of this formula in the dataset at 0.000 eV per atom.

The structure belongs to space group R-3m (No. 166, hexagonal axes); the cell edges are 3.8630, 3.8630 and 19.6755 Å and the angles 90.00°, 90.00° and 120.00°. The asymmetric unit holds Hg at (0.0000, 0.0000, 0.0000), As at (0.0000, 0.0000, 0.2482) and Se at (0.0000, 0.0000, 0.5000).